1.
Density functional theory data (PBE) for a relaxed structure of PrThPdAu.

Cell and atoms, written as CIF:
```
data_PrThPdAu
_chemical_formula_sum 'Pr2 Th2 Pd2 Au2'
_space_group_name_H-M_alt 'A m m 2'
_space_group_IT_number 38
_space_group_name_Hall 'A 2 -2'
_cell_length_a 4.615
_cell_length_b 3.892
_cell_length_c 11.534
_cell_angle_alpha 90.00
_cell_angle_beta 90.00
_cell_angle_gamma 90.00
loop_
_atom_site_label
_atom_site_type_symbol
_atom_site_fract_x
_atom_site_fract_y
_atom_site_fract_z
_atom_site_occupancy
Pr1 Pr 0.000 0.000 0.000 1
Th1 Th 0.500 0.000 0.725 1
Pd1 Pd 0.000 0.000 0.266 1
Au1 Au 0.500 0.000 0.441 1
```

Results
* calculated formation energy: -0.74 eV per atom
* Fermi-level density of states: 0.661 states/eV per atom
* theoretical density: 10.8 g/cm³
* energy above the most stable polymorph in this dataset: 0 meV per atom



2.
Density functional theory data (PBE) for a relaxed structure of BaTlRu.

Cell and atoms, written as CIF:
```
data_BaTlRu
_chemical_formula_sum 'Ba4 Tl4 Ru4'
_space_group_name_H-M_alt 'F -4 3 m'
_space_group_IT_number 216
_space_group_name_Hall 'F -4 2 3'
_cell_length_a 7.481
_cell_length_b 7.481
_cell_length_c 7.481
_cell_angle_alpha 90.00
_cell_angle_beta 90.00
_cell_angle_gamma 90.00
loop_
_atom_site_label
_atom_site_type_symbol
_atom_site_fract_x
_atom_site_fract_y
_atom_site_fract_z
_atom_site_occupancy
Ba1 Ba 0.000 0.000 0.000 1
Tl1 Tl 0.250 0.250 0.750 1
Ru1 Ru 0.250 0.250 0.250 1
```

Results
* calculated formation energy: 1.19 eV per atom
* Fermi-level density of states: 2.955 states/eV per atom
* theoretical density: 7.0 g/cm³
* energy above the most stable polymorph in this dataset: 897 meV per atom



3.
Density functional theory data (PBE) for a relaxed structure of CaErAl2.

Cell and atoms, written as CIF:
```
data_CaErAl2
_chemical_formula_sum 'Ca4 Er4 Al8'
_space_group_name_H-M_alt 'F m -3 m'
_space_group_IT_number 225
_space_group_name_Hall '-F 4 2 3'
_cell_length_a 7.265
_cell_length_b 7.265
_cell_length_c 7.265
_cell_angle_alpha 90.00
_cell_angle_beta 90.00
_cell_angle_gamma 90.00
loop_
_atom_site_label
_atom_site_type_symbol
_atom_site_fract_x
_atom_site_fract_y
_atom_site_fract_z
_atom_site_occupancy
Ca1 Ca 0.000 0.000 0.000 1
Er1 Er 0.000 0.000 0.500 1
Al1 Al 0.250 0.250 0.250 1
```

Results
* calculated formation energy: -0.26 eV per atom
* Fermi-level density of states: 0.723 states/eV per atom
* theoretical density: 4.5 g/cm³
* energy above the most stable polymorph in this dataset: 34 meV per atom



4.
Density functional theory data (PBE) for a relaxed structure of ScCo3Pd.

Cell and atoms, written as CIF:
```
data_ScCo3Pd
_chemical_formula_sum 'Sc1 Co3 Pd1'
_space_group_name_H-M_alt 'P m -3 m'
_space_group_IT_number 221
_space_group_name_Hall '-P 4 2 3'
_cell_length_a 4.323
_cell_length_b 4.323
_cell_length_c 4.323
_cell_angle_alpha 90.00
_cell_angle_beta 90.00
_cell_angle_gamma 90.00
loop_
_atom_site_label
_atom_site_type_symbol
_atom_site_fract_x
_atom_site_fract_y
_atom_site_fract_z
_atom_site_occupancy
Sc1 Sc 0.000 0.000 0.000 1
Co1 Co 0.000 0.000 0.500 1
Pd1 Pd 0.500 0.500 0.500 1
```

Results
* calculated formation energy: 1.24 eV per atom
* Fermi-level density of states: 1.064 states/eV per atom
* theoretical density: 6.7 g/cm³
* energy above the most stable polymorph in this dataset: 315 meV per atom



5.
Density functional theory data (PBE) for a relaxed structure of Tm5Tl2In.

Cell and atoms, written as CIF:
```
data_Tm5Tl2In
_chemical_formula_sum 'Tm20 Tl8 In4'
_space_group_name_H-M_alt 'I 4/m c m'
_space_group_IT_number 140
_space_group_name_Hall '-I 4 2c'
_cell_length_a 8.063
_cell_length_b 8.063
_cell_length_c 13.724
_cell_angle_alpha 90.00
_cell_angle_beta 90.00
_cell_angle_gamma 90.00
loop_
_atom_site_label
_atom_site_type_symbol
_atom_site_fract_x
_atom_site_fract_y
_atom_site_fract_z
_atom_site_occupancy
Tm1 Tm 0.000 0.000 0.000 1
Tm2 Tm 0.156 0.344 0.154 1
Tl1 Tl 0.139 0.361 0.500 1
In1 In 0.000 0.000 0.250 1
```

Results
* calculated formation energy: -0.29 eV per atom
* Fermi-level density of states: 0.705 states/eV per atom
* theoretical density: 10.2 g/cm³



6.
Density functional theory data (PBE) for a relaxed structure of HgMo2C2.

Cell and atoms, written as CIF:
```
data_HgMo2C2
_chemical_formula_sum 'Hg2 Mo4 C4'
_space_group_name_H-M_alt 'P 4/m b m'
_space_group_IT_number 127
_space_group_name_Hall '-P 4 2ab'
_cell_length_a 6.795
_cell_length_b 6.795
_cell_length_c 2.873
_cell_angle_alpha 90.00
_cell_angle_beta 90.00
_cell_angle_gamma 90.00
loop_
_atom_site_label
_atom_site_type_symbol
_atom_site_fract_x
_atom_site_fract_y
_atom_site_fract_z
_atom_site_occupancy
Hg1 Hg 0.000 0.000 0.000 1
Mo1 Mo 0.133 0.367 0.000 1
C1 C 0.121 0.621 0.500 1
```

Results
* calculated formation energy: 1.05 eV per atom
* Fermi-level density of states: 0.593 states/eV per atom
* theoretical density: 10.4 g/cm³
* energy above the most stable polymorph in this dataset: 291 meV per atom